No. 1
# PBE AlH2Pd, relaxed
data_AlH2Pd
_cell_length_a 5.332
_cell_length_b 5.332
_cell_length_c 5.332
_cell_angle_alpha 90.00
_cell_angle_beta 90.00
_cell_angle_gamma 90.00
_symmetry_space_group_name_H-M 'F m -3 m'
_symmetry_Int_Tables_number 225
_symmetry_space_group_name_Hall '-F 4 2 3'
loop_
_atom_site_label
_atom_site_type_symbol
_atom_site_fract_x
_atom_site_fract_y
_atom_site_fract_z
Al1 Al 0.000 0.000 0.000
H1 H 0.250 0.250 0.250
Pd1 Pd 0.000 0.000 0.500
# DFT total energy ... -3.4663 eV per atom

No. 2
# PBE AlH2Pd8, relaxed
data_AlH2Pd8
_cell_length_a 4.781
_cell_length_b 4.791
_cell_length_c 7.332
_cell_angle_alpha 72.04
_cell_angle_beta 72.55
_cell_angle_gamma 71.41
_symmetry_space_group_name_H-M 'P 1'
_symmetry_Int_Tables_number 1
loop_
_symmetry_equiv_pos_as_xyz
'x,y,z'
loop_
_atom_site_label
_atom_site_type_symbol
_atom_site_fract_x
_atom_site_fract_y
_atom_site_fract_z
Al1 Al 0.000 0.000 0.000
H1 H 0.727 0.407 0.272
H2 H 0.777 0.809 0.740
Pd1 Pd 0.045 0.572 0.283
Pd2 Pd 0.310 0.367 0.930
Pd3 Pd 0.394 0.939 0.699
Pd4 Pd 0.464 0.514 0.494
Pd5 Pd 0.550 0.096 0.271
Pd6 Pd 0.619 0.690 0.045
Pd7 Pd 0.888 0.423 0.711
Pd8 Pd 0.974 0.002 0.493
# DFT total energy ... -4.9204 eV per atom

No. 3
# PBE AlH2Pd, relaxed
data_AlH2Pd
_cell_length_a 4.280
_cell_length_b 4.280
_cell_length_c 8.723
_cell_angle_alpha 90.00
_cell_angle_beta 90.00
_cell_angle_gamma 90.00
_symmetry_space_group_name_H-M 'I -4 2 d'
_symmetry_Int_Tables_number 122
_symmetry_space_group_name_Hall 'I -4 2bw'
loop_
_atom_site_label
_atom_site_type_symbol
_atom_site_fract_x
_atom_site_fract_y
_atom_site_fract_z
Al1 Al 0.000 0.000 0.000
H1 H 0.237 0.250 0.625
Pd1 Pd 0.000 0.000 0.500
# DFT total energy ... -3.8322 eV per atom

No. 4
# PBE AlH2Pd2, relaxed
data_AlH2Pd2
_cell_length_a 3.185
_cell_length_b 3.185
_cell_length_c 10.070
_cell_angle_alpha 90.00
_cell_angle_beta 90.00
_cell_angle_gamma 90.00
_symmetry_space_group_name_H-M 'I 4/m m m'
_symmetry_Int_Tables_number 139
_symmetry_space_group_name_Hall '-I 4 2'
loop_
_atom_site_label
_atom_site_type_symbol
_atom_site_fract_x
_atom_site_fract_y
_atom_site_fract_z
Al1 Al 0.000 0.000 0.000
H1 H 0.000 0.500 0.250
Pd1 Pd 0.000 0.000 0.357
# DFT total energy ... -4.4877 eV per atom

No. 5
# PBE Al3H12Pd5, relaxed
data_Al3H12Pd5
_cell_length_a 11.167
_cell_length_b 11.167
_cell_length_c 11.167
_cell_angle_alpha 90.00
_cell_angle_beta 90.00
_cell_angle_gamma 90.00
_symmetry_space_group_name_H-M 'I a -3 d'
_symmetry_Int_Tables_number 230
_symmetry_space_group_name_Hall '-I 4bd 2c 3'
loop_
_atom_site_label
_atom_site_type_symbol
_atom_site_fract_x
_atom_site_fract_y
_atom_site_fract_z
Al1 Al 0.000 0.250 0.125
H1 H 0.011 0.060 0.655
Pd1 Pd 0.000 0.000 0.000
Pd2 Pd 0.000 0.250 0.375
# DFT total energy ... -3.7302 eV per atom

No. 6
# PBE AlH2Pd2, relaxed
data_AlH2Pd2
_cell_length_a 5.568
_cell_length_b 5.568
_cell_length_c 3.496
_cell_angle_alpha 90.00
_cell_angle_beta 90.00
_cell_angle_gamma 90.00
_symmetry_space_group_name_H-M 'P 4/m b m'
_symmetry_Int_Tables_number 127
_symmetry_space_group_name_Hall '-P 4 2ab'
loop_
_atom_site_label
_atom_site_type_symbol
_atom_site_fract_x
_atom_site_fract_y
_atom_site_fract_z
Al1 Al 0.000 0.000 0.000
H1 H 0.159 0.341 0.000
Pd1 Pd 0.182 0.318 0.500
# DFT total energy ... -4.4275 eV per atom

No. 7
# PBE AlHPd2, relaxed
data_AlHPd2
_cell_length_a 5.928
_cell_length_b 5.928
_cell_length_c 5.530
_cell_angle_alpha 90.00
_cell_angle_beta 90.00
_cell_angle_gamma 90.00
_symmetry_space_group_name_H-M 'I -4 2 d'
_symmetry_Int_Tables_number 122
_symmetry_space_group_name_Hall 'I -4 2bw'
loop_
_atom_site_label
_atom_site_type_symbol
_atom_site_fract_x
_atom_site_fract_y
_atom_site_fract_z
Al1 Al 0.000 0.000 0.000
H1 H 0.000 0.000 0.500
Pd1 Pd 0.159 0.750 0.625
# DFT total energy ... -4.8417 eV per atom

No. 8
# PBE Al2HPd6, relaxed
data_Al2HPd6
_cell_length_a 5.6019
_cell_length_b 5.6019
_cell_length_c 8.9867
_cell_angle_alpha 90.00
_cell_angle_beta 90.00
_cell_angle_gamma 120.00
_symmetry_space_group_name_H-M 'P 63 m c'
_symmetry_Int_Tables_number 186
_symmetry_space_group_name_Hall 'P 6c -2c'
loop_
_atom_site_label
_atom_site_type_symbol
_atom_site_fract_x
_atom_site_fract_y
_atom_site_fract_z
Al1 Al 0.0000 0.0000 0.0000
Al2 Al 0.3333 0.6667 0.2498
H1 H 0.3333 0.6667 0.6380
Pd1 Pd 0.0020 0.5010 0.9999
Pd2 Pd 0.1624 0.3249 0.7509
# DFT total energy ... -5.2202 eV per atom

No. 9
# PBE AlH2Pd, relaxed
data_AlH2Pd
_cell_length_a 3.3050
_cell_length_b 3.3050
_cell_length_c 12.5256
_cell_angle_alpha 90.00
_cell_angle_beta 90.00
_cell_angle_gamma 120.00
_symmetry_space_group_name_H-M 'R -3 m'
_symmetry_Int_Tables_number 166
_symmetry_space_group_name_Hall '-R 3 2"'
loop_
_atom_site_label
_atom_site_type_symbol
_atom_site_fract_x
_atom_site_fract_y
_atom_site_fract_z
Al1 Al 0.0000 0.0000 0.0000
H1 H 0.0000 0.0000 0.3675
Pd1 Pd 0.0000 0.0000 0.5000
# DFT total energy ... -3.9341 eV per atom

No. 10
# PBE Al2HPd, relaxed
data_Al2HPd
_cell_length_a 4.775
_cell_length_b 4.775
_cell_length_c 10.190
_cell_angle_alpha 90.00
_cell_angle_beta 90.00
_cell_angle_gamma 90.00
_symmetry_space_group_name_H-M 'I -4 2 d'
_symmetry_Int_Tables_number 122
_symmetry_space_group_name_Hall 'I -4 2bw'
loop_
_atom_site_label
_atom_site_type_symbol
_atom_site_fract_x
_atom_site_fract_y
_atom_site_fract_z
Al1 Al 0.138 0.250 0.125
H1 H 0.000 0.000 0.000
Pd1 Pd 0.000 0.000 0.500
# DFT total energy ... -4.0029 eV per atom

No. 11
# PBE AlHPd2, relaxed
data_AlHPd2
_cell_length_a 2.892
_cell_length_b 2.916
_cell_length_c 6.424
_cell_angle_alpha 86.82
_cell_angle_beta 87.28
_cell_angle_gamma 62.74
_symmetry_space_group_name_H-M 'P 1'
_symmetry_Int_Tables_number 1
loop_
_symmetry_equiv_pos_as_xyz
'x,y,z'
loop_
_atom_site_label
_atom_site_type_symbol
_atom_site_fract_x
_atom_site_fract_y
_atom_site_fract_z
Al1 Al 0.000 0.000 0.000
H1 H 0.880 0.131 0.500
Pd1 Pd 0.325 0.318 0.304
Pd2 Pd 0.677 0.679 0.696
# DFT total energy ... -4.7822 eV per atom

No. 12
# PBE AlHPd2, relaxed
data_AlHPd2
_cell_length_a 5.862
_cell_length_b 5.862
_cell_length_c 5.862
_cell_angle_alpha 90.00
_cell_angle_beta 90.00
_cell_angle_gamma 90.00
_symmetry_space_group_name_H-M 'F m -3 m'
_symmetry_Int_Tables_number 225
_symmetry_space_group_name_Hall '-F 4 2 3'
loop_
_atom_site_label
_atom_site_type_symbol
_atom_site_fract_x
_atom_site_fract_y
_atom_site_fract_z
Al1 Al 0.000 0.000 0.000
H1 H 0.000 0.000 0.500
Pd1 Pd 0.250 0.250 0.250
# DFT total energy ... -4.4943 eV per atom

No. 13
# PBE AlHPd2, relaxed
data_AlHPd2
_cell_length_a 2.8665
_cell_length_b 2.8665
_cell_length_c 21.7494
_cell_angle_alpha 90.00
_cell_angle_beta 90.00
_cell_angle_gamma 120.00
_symmetry_space_group_name_H-M 'R -3 m'
_symmetry_Int_Tables_number 166
_symmetry_space_group_name_Hall '-R 3 2"'
loop_
_atom_site_label
_atom_site_type_symbol
_atom_site_fract_x
_atom_site_fract_y
_atom_site_fract_z
Al1 Al 0.0000 0.0000 0.0000
H1 H 0.0000 0.0000 0.5000
Pd1 Pd 0.0000 0.0000 0.1107
# DFT total energy ... -4.4842 eV per atom

No. 14
# PBE AlH2Pd8, relaxed
data_AlH2Pd8
_cell_length_a 11.556
_cell_length_b 5.412
_cell_length_c 4.787
_cell_angle_alpha 90.00
_cell_angle_beta 90.13
_cell_angle_gamma 90.00
_symmetry_space_group_name_H-M 'C 1 2/m 1'
_symmetry_Int_Tables_number 12
loop_
_symmetry_equiv_pos_as_xyz
'x,y,z'
'-x,-y,-z'
'-x,y,-z'
'x,-y,z'
'x+1/2,y+1/2,z'
'-x+1/2,-y+1/2,-z'
'-x+1/2,y+1/2,-z'
'x+1/2,-y+1/2,z'
loop_
_atom_site_label
_atom_site_type_symbol
_atom_site_fract_x
_atom_site_fract_y
_atom_site_fract_z
Al1 Al 0.000 0.000 0.000
H1 H 0.200 0.000 0.489
Pd1 Pd 0.097 0.500 0.849
Pd2 Pd 0.111 0.250 0.361
Pd3 Pd 0.200 0.000 0.864
# DFT total energy ... -4.8780 eV per atom

No. 15
# PBE AlH2Pd3, relaxed
data_AlH2Pd3
_cell_length_a 12.427
_cell_length_b 3.976
_cell_length_c 5.837
_cell_angle_alpha 90.00
_cell_angle_beta 110.25
_cell_angle_gamma 90.00
_symmetry_space_group_name_H-M 'C 1 2/m 1'
_symmetry_Int_Tables_number 12
loop_
_symmetry_equiv_pos_as_xyz
'x,y,z'
'-x,-y,-z'
'-x,y,-z'
'x,-y,z'
'x+1/2,y+1/2,z'
'-x+1/2,-y+1/2,-z'
'-x+1/2,y+1/2,-z'
'x+1/2,-y+1/2,z'
loop_
_atom_site_label
_atom_site_type_symbol
_atom_site_fract_x
_atom_site_fract_y
_atom_site_fract_z
Al1 Al 0.165 0.000 0.006
H1 H 0.040 0.500 0.292
H2 H 0.136 0.000 0.598
Pd1 Pd 0.045 0.000 0.276
Pd2 Pd 0.118 0.500 0.705
Pd3 Pd 0.211 0.500 0.291
# DFT total energy ... -4.6866 eV per atom

No. 16
# PBE AlHPd, relaxed
data_AlHPd
_cell_length_a 3.140
_cell_length_b 3.946
_cell_length_c 5.494
_cell_angle_alpha 88.50
_cell_angle_beta 89.89
_cell_angle_gamma 89.97
_symmetry_space_group_name_H-M 'P -1'
_symmetry_Int_Tables_number 2
loop_
_symmetry_equiv_pos_as_xyz
'x,y,z'
'-x,-y,-z'
loop_
_atom_site_label
_atom_site_type_symbol
_atom_site_fract_x
_atom_site_fract_y
_atom_site_fract_z
Al1 Al 0.249 0.208 0.318
H1 H 0.250 0.514 0.606
Pd1 Pd 0.250 0.248 0.851
# DFT total energy ... -4.4007 eV per atom

No. 17
# PBE Al2H6Pd, relaxed
data_Al2H6Pd
_cell_length_a 6.532
_cell_length_b 6.532
_cell_length_c 6.532
_cell_angle_alpha 90.00
_cell_angle_beta 90.00
_cell_angle_gamma 90.00
_symmetry_space_group_name_H-M 'F m -3 m'
_symmetry_Int_Tables_number 225
_symmetry_space_group_name_Hall '-F 4 2 3'
loop_
_atom_site_label
_atom_site_type_symbol
_atom_site_fract_x
_atom_site_fract_y
_atom_site_fract_z
Al1 Al 0.250 0.250 0.250
H1 H 0.000 0.000 0.218
Pd1 Pd 0.000 0.000 0.500
# DFT total energy ... -3.2603 eV per atom

No. 18
# PBE Al2HPd6, relaxed
data_Al2HPd6
_cell_length_a 9.019
_cell_length_b 3.687
_cell_length_c 7.530
_cell_angle_alpha 90.00
_cell_angle_beta 90.75
_cell_angle_gamma 90.00
_symmetry_space_group_name_H-M 'C 1 2/m 1'
_symmetry_Int_Tables_number 12
loop_
_symmetry_equiv_pos_as_xyz
'x,y,z'
'-x,-y,-z'
'-x,y,-z'
'x,-y,z'
'x+1/2,y+1/2,z'
'-x+1/2,-y+1/2,-z'
'-x+1/2,y+1/2,-z'
'x+1/2,-y+1/2,z'
loop_
_atom_site_label
_atom_site_type_symbol
_atom_site_fract_x
_atom_site_fract_y
_atom_site_fract_z
Al1 Al 0.244 0.000 0.245
H1 H 0.000 0.000 0.500
Pd1 Pd 0.057 0.000 0.740
Pd2 Pd 0.139 0.500 0.058
Pd3 Pd 0.142 0.500 0.440
# DFT total energy ... -5.1918 eV per atom

No. 19
# PBE AlHPd6, relaxed
data_AlHPd6
_cell_length_a 4.830
_cell_length_b 4.844
_cell_length_c 4.851
_cell_angle_alpha 99.46
_cell_angle_beta 99.31
_cell_angle_gamma 99.58
_symmetry_space_group_name_H-M 'P -1'
_symmetry_Int_Tables_number 2
loop_
_symmetry_equiv_pos_as_xyz
'x,y,z'
'-x,-y,-z'
loop_
_atom_site_label
_atom_site_type_symbol
_atom_site_fract_x
_atom_site_fract_y
_atom_site_fract_z
Al1 Al 0.000 0.000 0.000
H1 H 0.500 0.500 0.500
Pd1 Pd 0.140 0.278 0.571
Pd2 Pd 0.279 0.569 0.140
Pd3 Pd 0.429 0.860 0.722
# DFT total energy ... -5.1164 eV per atom

No. 20
# PBE AlHPd2, relaxed
data_AlHPd2
_cell_length_a 2.957
_cell_length_b 2.957
_cell_length_c 5.628
_cell_angle_alpha 90.00
_cell_angle_beta 90.00
_cell_angle_gamma 90.00
_symmetry_space_group_name_H-M 'P 4/m m m'
_symmetry_Int_Tables_number 123
_symmetry_space_group_name_Hall '-P 4 2'
loop_
_atom_site_label
_atom_site_type_symbol
_atom_site_fract_x
_atom_site_fract_y
_atom_site_fract_z
Al1 Al 0.000 0.000 0.000
H1 H 0.000 0.000 0.500
Pd1 Pd 0.500 0.500 0.262
# DFT total energy ... -4.6362 eV per atom

No. 21
# PBE AlH2Pd4, relaxed
data_AlH2Pd4
_cell_length_a 5.383
_cell_length_b 5.625
_cell_length_c 6.672
_cell_angle_alpha 99.79
_cell_angle_beta 101.81
_cell_angle_gamma 117.91
_symmetry_space_group_name_H-M 'P 1'
_symmetry_Int_Tables_number 1
loop_
_symmetry_equiv_pos_as_xyz
'x,y,z'
loop_
_atom_site_label
_atom_site_type_symbol
_atom_site_fract_x
_atom_site_fract_y
_atom_site_fract_z
Al1 Al 0.000 0.000 0.000
Al2 Al 0.252 0.870 0.450
H1 H 0.059 0.499 0.793
H2 H 0.408 0.390 0.194
H3 H 0.486 0.494 0.666
H4 H 0.827 0.105 0.375
Pd1 Pd 0.037 0.548 0.064
Pd2 Pd 0.208 0.349 0.393
Pd3 Pd 0.403 0.236 0.812
Pd4 Pd 0.442 0.762 0.820
Pd5 Pd 0.551 0.159 0.213
Pd6 Pd 0.706 0.742 0.240
Pd7 Pd 0.818 0.128 0.648
Pd8 Pd 0.862 0.648 0.641
# DFT total energy ... -4.8022 eV per atom